(1)
The following is a DFT calculation (GGA-PBEsol) of a relaxed structure of CaIn3.

Results
For the density of states at the Fermi level, the calculation gives 3.45 states/eV per cell. As for the calculated density: 6.13 g/cm3. The formation energy from the elements comes out at -1.06 eV/f.u.

a b c (Å): 10.259 3.689 5.636
angles (deg): 90.00 102.49 90.00
Space group C2/m (No. 12)
Symmetry-distinct sites (fractional):
Ca 0.000 0.000 0.000 [2 per cell]
In 0.000 0.500 0.500 [2 per cell]
In 0.244 0.000 0.733 [4 per cell]


(2)
The following is a DFT calculation (GGA-PBEsol) of a relaxed structure of Zn3Au.

Results
For the density of states at the Fermi level, the calculation gives 2.17 states/eV per cell. As for the calculated density: 11.18 g/cm3. The formation energy from the elements comes out at -0.65 eV/f.u.

a b c (Å): 5.4027 5.4027 4.6209
angles (deg): 90.00 90.00 120.00
Space group P6_3/mmc (No. 194)
Symmetry-distinct sites (fractional):
Zn 0.1649 0.3298 0.2500 [6 per cell]
Au 0.3333 0.6667 0.7500 [2 per cell]


(3)
The following is a DFT calculation (GGA-PBEsol) of a relaxed structure of TaSbW2.

Results
For the density of states at the Fermi level, the calculation gives 5.26 states/eV per cell. The value obtained for the uncorrected formation energy is 0.44 eV/atom. As for the calculated density: 15.87 g/cm3.

a b c (Å): 3.362 4.778 8.735
angles (deg): 90.00 90.00 90.00
Space group Cmmm (No. 65)
Symmetry-distinct sites (fractional):
Ta 0.000 0.000 0.000 [2 per cell]
Sb 0.000 0.000 0.500 [2 per cell]
W 0.000 0.500 0.244 [4 per cell]


(4)
The following is a DFT calculation (GGA-PBEsol) of a relaxed structure of Cu2AsRu.

Results
For the density of states at the Fermi level, the calculation gives 1.79 states/eV per cell. As for the calculated density: 9.57 g/cm3. The formation energy from the elements comes out at 0.35 eV/f.u.

a b c (Å): 2.858 3.638 5.258
angles (deg): 90.00 105.84 90.00
Space group Pm (No. 6)
Symmetry-distinct sites (fractional):
Cu 0.000 0.000 0.000 [1 per cell]
Cu 0.402 0.500 0.803 [1 per cell]
As 0.248 0.000 0.490 [1 per cell]
Ru 0.659 0.500 0.314 [1 per cell]


(5)
The following is a DFT calculation (GGA-PBEsol) of a relaxed structure of InCoPb2.

Results
For the density of states at the Fermi level, the calculation gives 5.66 states/eV per cell. As for the calculated density: 10.82 g/cm3. The formation energy from the elements comes out at 2.16 eV/f.u.

a b c (Å): 4.697 4.697 4.090
angles (deg): 90.00 90.00 90.00
Space group P4/mmm (No. 123)
Symmetry-distinct sites (fractional):
In 0.000 0.000 0.000 [1 per cell]
Co 0.500 0.500 0.000 [1 per cell]
Pb 0.000 0.500 0.500 [2 per cell]


(6)
The following is a DFT calculation (GGA-PBEsol) of a relaxed structure of BaCuBi2H.

Results
For the density of states at the Fermi level, the calculation gives 2.23 states/eV per cell. As for the calculated density: 8.85 g/cm3. Its total energy is -18.0 eV/cell.

a b c (Å): 5.041 5.041 4.574
angles (deg): 90.00 90.00 90.00
Space group P4/mmm (No. 123)
Symmetry-distinct sites (fractional):
Ba 0.000 0.000 0.000 [1 per cell]
Cu 0.500 0.500 0.000 [1 per cell]
Bi 0.000 0.500 0.500 [2 per cell]
H 0.500 0.500 0.500 [1 per cell]


(7)
The following is a DFT calculation (GGA-PBEsol) of a relaxed structure of Rb2Te5.

Results
For the density of states at the Fermi level, the calculation gives 0.27 states/eV per cell. The value obtained for the uncorrected formation energy is -0.51 eV/atom. As for the calculated density: 5.08 g/cm3.

a b c (Å): 11.398 9.101 5.790
angles (deg): 90.00 118.31 90.00
Space group C2/m (No. 12)
Symmetry-distinct sites (fractional):
Rb 0.182 0.000 0.359 [4 per cell]
Te 0.000 0.500 0.000 [2 per cell]
Te 0.097 0.260 0.771 [8 per cell]


(8)
The following is a DFT calculation (GGA-PBEsol) of a relaxed structure of BaSr2In2.

Results
For the density of states at the Fermi level, the calculation gives 8.89 states/eV per cell. As for the calculated density: 4.77 g/cm3. The relative energy among the computed polymorphs comes out at 0.00 kcal/mol of atoms. The formation energy from the elements comes out at -1.70 eV/f.u.

a b c (Å): 9.232 9.232 4.427
angles (deg): 90.00 90.00 90.00
Space group P4/mbm (No. 127)
Symmetry-distinct sites (fractional):
Ba 0.000 0.000 0.000 [2 per cell]
Sr 0.172 0.328 0.500 [4 per cell]
In 0.119 0.619 0.000 [4 per cell]


(9)
The following is a DFT calculation (GGA-PBEsol) of a relaxed structure of TiAuICl2.

Results
For the density of states at the Fermi level, the calculation gives 9.08 states/eV per cell. The value obtained for the uncorrected formation energy is 0.24 eV/atom. As for the calculated density: 5.38 g/cm3.

a b c (Å): 4.874 4.874 5.747
angles (deg): 90.00 90.00 90.00
Space group P4/mmm (No. 123)
Symmetry-distinct sites (fractional):
Ti 0.000 0.000 0.000 [1 per cell]
Au 0.500 0.500 0.500 [1 per cell]
I 0.500 0.500 0.000 [1 per cell]
Cl 0.000 0.500 0.500 [2 per cell]


(10)
The following is a DFT calculation (GGA-PBEsol) of a relaxed structure of CrTePt2.

Results
For the density of states at the Fermi level, the calculation gives 4.24 states/eV per cell. The value obtained for the uncorrected formation energy is 0.05 eV/atom. As for the calculated density: 14.16 g/cm3.

a b c (Å): 3.477 3.477 5.527
angles (deg): 90.00 90.00 90.00
Space group P4/mmm (No. 123)
Symmetry-distinct sites (fractional):
Cr 0.000 0.000 0.000 [1 per cell]
Te 0.000 0.000 0.500 [1 per cell]
Pt 0.500 0.500 0.233 [2 per cell]


(11)
The following is a DFT calculation (GGA-PBEsol) of a relaxed structure of BaLa2Ag.

Results
For the density of states at the Fermi level, the calculation gives 5.04 states/eV per cell. As for the calculated density: 6.37 g/cm3. The relative energy among the computed polymorphs comes out at 0.00 kcal/mol of atoms. The formation energy from the elements comes out at -0.20 eV/f.u.

a b c (Å): 3.834 3.834 9.272
angles (deg): 90.00 90.00 90.00
Space group P4mm (No. 99)
Symmetry-distinct sites (fractional):
Ba 0.000 0.000 0.000 [1 per cell]
La 0.000 0.000 0.587 [1 per cell]
La 0.500 0.500 0.336 [1 per cell]
Ag 0.500 0.500 0.763 [1 per cell]


(12)
The following is a DFT calculation (GGA-PBEsol) of a relaxed structure of AlBiPd3.

Results
For the density of states at the Fermi level, the calculation gives 3.80 states/eV per cell. As for the calculated density: 7.53 g/cm3. The formation energy from the elements comes out at 4.06 eV/f.u.

a b c (Å): 4.966 4.966 4.966
angles (deg): 90.00 90.00 90.00
Space group Pm-3m (No. 221)
Symmetry-distinct sites (fractional):
Al 0.000 0.000 0.000 [1 per cell]
Bi 0.500 0.500 0.500 [1 per cell]
Pd 0.000 0.500 0.500 [3 per cell]


(13)
The following is a DFT calculation (GGA-PBEsol) of a relaxed structure of CaCu3P.

Results
For the density of states at the Fermi level, the calculation gives 2.84 states/eV per cell. As for the calculated density: 4.17 g/cm3. The formation energy from the elements comes out at 8.41 eV/f.u.

a b c (Å): 4.705 4.705 4.705
angles (deg): 90.00 90.00 90.00
Space group Pm-3m (No. 221)
Symmetry-distinct sites (fractional):
Ca 0.000 0.000 0.000 [1 per cell]
Cu 0.000 0.000 0.500 [3 per cell]
P 0.500 0.500 0.500 [1 per cell]


(14)
The following is a DFT calculation (GGA-PBEsol) of a relaxed structure of BeWCl.

Results
For the density of states at the Fermi level, the calculation gives 5.61 states/eV per cell. The value obtained for the uncorrected formation energy is 0.52 eV/atom. As for the calculated density: 8.78 g/cm3. The relative energy among the computed polymorphs comes out at 3.61 kcal/mol of atoms.

a b c (Å): 2.759 5.206 12.019
angles (deg): 90.00 90.00 90.00
Space group Fmm2 (No. 42)
Symmetry-distinct sites (fractional):
Be 0.000 0.000 0.000 [4 per cell]
W 0.000 0.000 0.667 [4 per cell]
Cl 0.000 0.000 0.367 [4 per cell]


(15)
The following is a DFT calculation (GGA-PBEsol) of a relaxed structure of CaHg2Br.

Results
For the density of states at the Fermi level, the calculation gives 2.26 states/eV per cell. The value obtained for the uncorrected formation energy is -0.67 eV/atom. As for the calculated density: 7.98 g/cm3. The relative energy among the computed polymorphs comes out at 0.00 kcal/mol of atoms.

a b c (Å): 5.828 9.257 4.019
angles (deg): 90.00 90.00 90.00
Space group Cmmm (No. 65)
Symmetry-distinct sites (fractional):
Ca 0.000 0.000 0.000 [2 per cell]
Hg 0.250 0.250 0.500 [4 per cell]
Br 0.000 0.500 0.000 [2 per cell]


(16)
The following is a DFT calculation (GGA-PBEsol) of a relaxed structure of RbVH6SeO9.

Results
For the density of states at the Fermi level, the calculation gives 0.00 states/eV per cell. As for the calculated density: 3.01 g/cm3. Its total energy is -210.2 eV/cell.

a b c (Å): 6.366 9.881 6.742
angles (deg): 90.00 108.00 90.00
Space group P2_1 (No. 4)
Symmetry-distinct sites (fractional):
Rb 0.173 0.000 0.172 [2 per cell]
V 0.128 0.347 0.396 [2 per cell]
H 0.025 0.113 0.644 [2 per cell]
H 0.198 0.614 0.276 [2 per cell]
H 0.279 0.554 0.693 [2 per cell]
H 0.325 0.420 0.823 [2 per cell]
H 0.392 0.674 0.081 [2 per cell]
H 0.467 0.198 0.687 [2 per cell]
Se 0.417 0.847 0.733 [2 per cell]
O 0.053 0.294 0.155 [2 per cell]
O 0.072 0.556 0.297 [2 per cell]
O 0.162 0.877 0.566 [2 per cell]
O 0.189 0.206 0.537 [2 per cell]
O 0.221 0.460 0.694 [2 per cell]
O 0.378 0.702 0.217 [2 per cell]
O 0.435 0.398 0.422 [2 per cell]
O 0.448 0.685 0.794 [2 per cell]
O 0.469 0.943 0.941 [2 per cell]


(17)
The following is a DFT calculation (GGA-PBEsol) of a relaxed structure of ZrTl2Tc.

Results
For the density of states at the Fermi level, the calculation gives 7.27 states/eV per cell. As for the calculated density: 12.21 g/cm3. The relative energy among the computed polymorphs comes out at 3.27 kcal/mol of atoms. The formation energy from the elements comes out at 1.88 eV/f.u.

a b c (Å): 3.296 5.146 9.592
angles (deg): 90.00 90.00 90.00
Space group Cmmm (No. 65)
Symmetry-distinct sites (fractional):
Zr 0.000 0.000 0.000 [2 per cell]
Tl 0.000 0.500 0.266 [4 per cell]
Tc 0.000 0.000 0.500 [2 per cell]


(18)
The following is a DFT calculation (GGA-PBEsol) of a relaxed structure of In2RuW.

Results
For the density of states at the Fermi level, the calculation gives 3.78 states/eV per cell. As for the calculated density: 12.63 g/cm3. The relative energy among the computed polymorphs comes out at 0.00 kcal/mol of atoms. The formation energy from the elements comes out at 1.97 eV/f.u.

a b c (Å): 3.123 3.123 6.935
angles (deg): 90.00 90.00 90.00
Space group P4/mmm (No. 123)
Symmetry-distinct sites (fractional):
In 0.000 0.000 0.232 [2 per cell]
Ru 0.500 0.500 0.000 [1 per cell]
W 0.500 0.500 0.500 [1 per cell]


(19)
The following is a DFT calculation (GGA-PBEsol) of a relaxed structure of Re2MoPtW.

Results
For the density of states at the Fermi level, the calculation gives 4.74 states/eV per cell. As for the calculated density: 13.96 g/cm3. The formation energy from the elements comes out at 11.72 eV/f.u.

a b c (Å): 4.619 4.619 4.723
angles (deg): 90.00 90.00 90.00
Space group P4/mmm (No. 123)
Symmetry-distinct sites (fractional):
Re 0.000 0.500 0.000 [2 per cell]
Mo 0.000 0.000 0.500 [1 per cell]
Pt 0.500 0.500 0.500 [1 per cell]
W 0.500 0.500 0.000 [1 per cell]


(20)
The following is a DFT calculation (GGA-PBEsol) of a relaxed structure of CoReOs2.

Results
For the density of states at the Fermi level, the calculation gives 10.03 states/eV per cell. As for the calculated density: 19.39 g/cm3. The relative energy among the computed polymorphs comes out at 6.79 kcal/mol of atoms. The formation energy from the elements comes out at 1.51 eV/f.u.

a b c (Å): 2.746 4.322 9.029
angles (deg): 90.00 90.00 90.00
Space group Imm2 (No. 44)
Symmetry-distinct sites (fractional):
Co 0.000 0.000 0.000 [2 per cell]
Re 0.000 0.500 0.280 [2 per cell]
Os 0.000 0.000 0.493 [2 per cell]
Os 0.000 0.500 0.720 [2 per cell]


(21)
The following is a DFT calculation (GGA-PBEsol) of a relaxed structure of Li6MnO4.

Results
For the density of states at the Fermi level, the calculation gives 0.00 states/eV per cell. The value obtained for the uncorrected formation energy is -1.75 eV/atom. As for the calculated density: 2.68 g/cm3.

a b c (Å): 6.555 6.555 4.633
angles (deg): 90.00 90.00 90.00
Space group P4_2/nmc (No. 137, origin choice 2)
Symmetry-distinct sites (fractional):
Li 0.035 0.535 0.250 [8 per cell]
Li 0.250 0.250 0.209 [4 per cell]
Mn 0.250 0.750 0.750 [2 per cell]
O 0.015 0.250 0.469 [8 per cell]


(22)
The following is a DFT calculation (GGA-PBEsol) of a relaxed structure of KTcPt2.

Results
For the density of states at the Fermi level, the calculation gives 7.97 states/eV per cell. As for the calculated density: 11.03 g/cm3. The relative energy among the computed polymorphs comes out at 1.46 kcal/mol of atoms. The formation energy from the elements comes out at 1.81 eV/f.u.

a b c (Å): 9.142 2.725 6.415
angles (deg): 90.00 96.48 90.00
Space group Cm (No. 8)
Symmetry-distinct sites (fractional):
K 0.000 0.000 0.000 [2 per cell]
Tc 0.273 0.500 0.372 [2 per cell]
Pt 0.007 0.500 0.482 [2 per cell]
Pt 0.236 0.000 0.702 [2 per cell]


(23)
The following is a DFT calculation (GGA-PBEsol) of a relaxed structure of TePb8.

Results
For the density of states at the Fermi level, the calculation gives 9.29 states/eV per cell. The value obtained for the uncorrected formation energy is 0.00 eV/atom. As for the calculated density: 11.12 g/cm3.

a b c (Å): 10.301 10.301 5.022
angles (deg): 90.00 90.00 90.00
Space group I4/mmm (No. 139)
Symmetry-distinct sites (fractional):
Te 0.000 0.000 0.000 [2 per cell]
Pb 0.000 0.333 0.000 [8 per cell]
Pb 0.168 0.168 0.500 [8 per cell]


(24)
The following is a DFT calculation (GGA-PBEsol) of a relaxed structure of Li2V3CrO8.

Results
For the density of states at the Fermi level, the calculation gives 10.22 states/eV per cell. The value obtained for the uncorrected formation energy is -2.27 eV/atom. As for the calculated density: 4.35 g/cm3. The relative energy among the computed polymorphs comes out at 0.00 kcal/mol of atoms.

a b c (Å): 5.6872 5.6872 9.4542
angles (deg): 90.00 90.00 120.00
Space group P6_3mc (No. 186)
Symmetry-distinct sites (fractional):
Li 0.0000 0.0000 0.0000 [2 per cell]
Li 0.3333 0.6667 0.1050 [2 per cell]
V 0.1757 0.3514 0.7823 [6 per cell]
Cr 0.3333 0.6667 0.5054 [2 per cell]
O 0.0000 0.0000 0.1880 [2 per cell]
O 0.0391 0.5195 0.6510 [6 per cell]
O 0.1669 0.3338 0.3885 [6 per cell]
O 0.3333 0.6667 0.9042 [2 per cell]


(25)
The following is a DFT calculation (GGA-PBEsol) of a relaxed structure of Cr2PHW.

Results
For the density of states at the Fermi level, the calculation gives 3.92 states/eV per cell. As for the calculated density: 5.10 g/cm3. Its total energy is -34.7 eV/cell.

a b c (Å): 4.798 4.798 4.526
angles (deg): 90.00 90.00 90.00
Space group P4/mmm (No. 123)
Symmetry-distinct sites (fractional):
Cr 0.000 0.500 0.000 [2 per cell]
P 0.000 0.000 0.500 [1 per cell]
H 0.500 0.500 0.500 [1 per cell]
W 0.000 0.000 0.000 [1 per cell]